Entry w
A relaxed Sc2TaW crystal. Source: Alexandria, functional PBE.

Unit cell a=9.6765 b=9.6765 c=9.6765 alpha=18.89 beta=18.89 gamma=18.89
Fractional positions:
Sc 0.0121 0.0121 0.0121
Sc 0.2418 0.2418 0.2418
Ta 0.4901 0.4901 0.4901
W 0.7560 0.7560 0.7560

***

Entry x
A relaxed Sc2TaW crystal. Source: Alexandria, functional PBE.

Unit cell a=2.8269 b=4.6561 c=5.9070 alpha=90.00 beta=90.00 gamma=90.00
Fractional positions:
Sc 0.0000 0.0000 0.9898
Sc 0.5000 0.5000 0.2578
Ta 0.0000 0.0000 0.5161
W 0.5000 0.5000 0.7363

***

Which one sits at the top of the stability order? entry w does.

***

Entry w
A relaxed Sc2TaW crystal. Source: Alexandria, functional PBE.

Unit cell a=2.9460 b=2.9460 c=9.7296 alpha=90.00 beta=90.00 gamma=108.83
Fractional positions:
Sc 0.0000 0.0000 0.9701
Sc 0.5000 0.5000 0.2704
Ta 0.0000 0.0000 0.5227
W 0.5000 0.5000 0.7369

***

Entry x
A relaxed Sc2TaW crystal. Source: Alexandria, functional PBE.

Unit cell a=2.8453 b=2.8453 c=9.7708 alpha=90.00 beta=90.00 gamma=90.00
Fractional positions:
Sc 0.0000 0.0000 0.9741
Sc 0.5000 0.5000 0.2713
Ta 0.0000 0.0000 0.5091
W 0.5000 0.5000 0.7456

***

Entry y
A relaxed Sc2TaW crystal. Source: Alexandria, functional PBE.

Unit cell a=5.8252 b=5.5928 c=2.8583 alpha=84.01 beta=73.13 gamma=116.53
Fractional positions:
Sc 0.0000 0.0000 0.0000
Sc 0.5000 0.0000 0.5000
Ta 0.0000 0.5000 0.5000
W 0.5000 0.5000 0.0000

***

Which one sits at the top of the stability order? entry w does.

***

Entry w
A relaxed Sc2TaW crystal. Source: Alexandria, functional PBE.

Unit cell a=2.8563 b=2.8563 c=9.6341 alpha=90.00 beta=90.00 gamma=102.18
Fractional positions:
Sc 0.0000 0.0000 0.9920
Sc 0.0000 0.0000 0.5080
Ta 0.5000 0.5000 0.2500
W 0.5000 0.5000 0.7500

***

Entry x
A relaxed Sc2TaW crystal. Source: Alexandria, functional PBE.

Unit cell a=4.7700 b=4.7700 c=4.7700 alpha=60.00 beta=60.00 gamma=60.00
Fractional positions:
Sc 0.2500 0.2500 0.2500
Sc 0.7500 0.7500 0.7500
W 0.5000 0.5000 0.5000
Ta 0.0000 0.0000 0.0000

***

Which one sits at the top of the stability order? entry w does.

***

Entry w
A relaxed Sc2TaW crystal. Source: Alexandria, functional PBE.

Unit cell a=4.7963 b=4.0068 c=4.0068 alpha=90.00 beta=90.00 gamma=90.00
Fractional positions:
Sc 0.0000 0.0000 0.0000
Sc 0.0000 0.5000 0.5000
Ta 0.5000 0.5000 0.0000
W 0.5000 0.0000 0.5000

***

Entry x
A relaxed Sc2TaW crystal. Source: Alexandria, functional PBE.

Unit cell a=3.3261 b=3.3261 c=7.4524 alpha=90.00 beta=90.00 gamma=90.00
Fractional positions:
Sc 0.0000 0.0000 0.9543
Sc 0.5000 0.5000 0.2866
Ta 0.0000 0.0000 0.5371
W 0.5000 0.5000 0.7220

***

Entry y
A relaxed Sc2TaW crystal. Source: Alexandria, functional PBE.

Unit cell a=5.6917 b=5.6917 c=5.6917 alpha=144.63 beta=133.18 gamma=60.02
Fractional positions:
Sc 0.0212 0.0212 0.0000
Sc 0.4788 0.4788 0.0000
Ta 0.7500 0.2500 0.5000
W 0.2500 0.7500 0.5000

***

Which one sits at the top of the stability order? entry x does.

***

Entry w
A relaxed Sc2TaW crystal. Source: Alexandria, functional PBE.

Unit cell a=5.6027 b=5.6027 c=5.6027 alpha=144.35 beta=127.58 gamma=65.01
Fractional positions:
Sc 0.0203 0.0203 0.0000
Sc 0.7429 0.2429 0.5000
Ta 0.4689 0.4689 0.0000
W 0.2678 0.7678 0.5000

***

Entry x
A relaxed Sc2TaW crystal. Source: Alexandria, functional PBE.

Unit cell a=7.6312 b=7.6312 c=6.0781 alpha=51.12 beta=51.12 gamma=90.00
Fractional positions:
Sc 0.6400 0.1250 0.2500
Sc 0.1100 0.6250 0.2500
Sc 0.3750 0.3600 0.7500
Sc 0.8750 0.8900 0.7500
W 0.0000 0.0000 0.0000
W 0.7500 0.2500 0.5000
Ta 0.5000 0.5000 0.0000
Ta 0.2500 0.7500 0.5000

***

Entry y
A relaxed Sc2TaW crystal. Source: Alexandria, functional PBE.

Unit cell a=4.6062 b=2.9431 c=5.9016 alpha=79.23 beta=90.00 gamma=90.00
Fractional positions:
Sc 0.0000 0.0017 0.9734
Sc 0.5000 0.2264 0.2716
Ta 0.0000 0.5638 0.5181
W 0.5000 0.7082 0.7369

***

Entry z
A relaxed Sc2TaW crystal. Source: Alexandria, functional PBE.

Unit cell a=5.0005 b=5.0005 c=5.6886 alpha=88.12 beta=88.12 gamma=33.26
Fractional positions:
Sc 0.0056 0.0056 0.9845
Sc 0.2452 0.2452 0.2604
Ta 0.5001 0.5001 0.5185
W 0.7491 0.7491 0.7366

***

Which one sits at the top of the stability order? entry y does.

***

Entry w
A relaxed Y2ScTa crystal. Source: Alexandria, functional PBE.

Unit cell a=11.0655 b=11.0655 c=11.0655 alpha=17.14 beta=17.14 gamma=17.14
Fractional positions:
Sc 0.2500 0.2500 0.2500
Ta 0.7500 0.7500 0.7500
Y 0.0056 0.0056 0.0056
Y 0.4944 0.4944 0.4944

***

Entry x
A relaxed Y2ScTa crystal. Source: Alexandria, functional PBE.

Unit cell a=5.2472 b=5.2472 c=5.2472 alpha=60.00 beta=60.00 gamma=60.00
Fractional positions:
Sc 0.5000 0.5000 0.5000
Ta 0.7500 0.7500 0.7500
Y 0.0000 0.0000 0.0000
Y 0.2500 0.2500 0.2500

***

Entry y
A relaxed Y2ScTa crystal. Source: Alexandria, functional PBE.

Unit cell a=8.1824 b=8.1824 c=6.5886 alpha=51.61 beta=51.61 gamma=90.00
Fractional positions:
Y 0.6353 0.1250 0.2500
Y 0.1147 0.6250 0.2500
Y 0.3750 0.3647 0.7500
Y 0.8750 0.8853 0.7500
Sc 0.5000 0.5000 0.0000
Sc 0.2500 0.7500 0.5000
Ta 0.0000 0.0000 0.0000
Ta 0.7500 0.2500 0.5000

***

Which one sits at the top of the stability order? entry w does.

***

Entry w
A relaxed Y2ScTa crystal. Source: Alexandria, functional PBE.

Unit cell a=5.5608 b=5.5608 c=6.0129 alpha=82.62 beta=82.62 gamma=33.60
Fractional positions:
Sc 0.5100 0.5100 0.4738
Ta 0.2478 0.2478 0.2717
Y 0.9888 0.9888 0.0250
Y 0.7535 0.7535 0.7295

***

Entry x
A relaxed Y2ScTa crystal. Source: Alexandria, functional PBE.

Unit cell a=3.2093 b=3.2093 c=10.0439 alpha=90.00 beta=90.00 gamma=89.92
Fractional positions:
Sc 0.0000 0.0000 0.5367
Ta 0.5000 0.5000 0.7377
Y 0.0000 0.0000 0.9638
Y 0.5000 0.5000 0.2618

***

Which one sits at the top of the stability order? entry x does.

***

Entry w
A relaxed YScTa3 crystal. Source: Alexandria, functional PBE.

Unit cell a=4.9558 b=4.9558 c=4.9558 alpha=90.00 beta=90.00 gamma=90.00
Fractional positions:
Y 0.0000 0.0000 0.0000
Sc 0.5000 0.5000 0.5000
Ta 0.0000 0.5000 0.0000
Ta 0.0000 0.0000 0.5000
Ta 0.5000 0.0000 0.0000

***

Entry x
A relaxed YScTa3 crystal. Source: Alexandria, functional PBE.

Unit cell a=4.8731 b=4.8731 c=4.8731 alpha=90.00 beta=90.00 gamma=90.00
Fractional positions:
Y 0.5000 0.5000 0.5000
Sc 0.0000 0.0000 0.0000
Ta 0.0000 0.5000 0.0000
Ta 0.0000 0.0000 0.5000
Ta 0.5000 0.0000 0.0000

***

Which one sits at the top of the stability order? entry x does.